Density functional theory data (PBE) for a relaxed KIrOs crystal.

Summary:
Relative energy among the computed polymorphs in eV per atom: 0.431
Energy of formation in eV/atom: 0.8977
V in Å³ per cell: 54.35
Symmetry: P3m1, No. 156

```
KIrOs
1.0
2.788 0.000 0.000
-1.394 2.414 0.000
0.000 0.000 8.076
K Ir Os
1 1 1
direct
0.000 0.000 0.000 K
0.667 0.333 0.635 Ir
0.333 0.667 0.372 Os
```

***

Density functional theory data (PBE) for a relaxed Dy3Se2O2 crystal.

Summary:
V in Å³ per cell: 141.69
Raw formation energy in eV per atom: -2.411
Symmetry: P-1, No. 2

```
Dy3Se2O2
1.0
3.584 0.000 0.000
-1.785 5.739 0.000
-0.003 -1.033 6.889
Dy Se O
3 2 2
direct
0.000 0.000 0.000 Dy
0.231 0.462 0.774 Dy
0.769 0.538 0.226 Dy
0.116 0.231 0.375 Se
0.884 0.769 0.625 Se
0.364 0.727 0.064 O
0.636 0.273 0.936 O
```

***

Density functional theory data (PBE) for a relaxed PmHo2Sc8 crystal.

Summary:
Energy of formation in eV/atom: 0.1342
V in Å³ per cell: 301.95
Symmetry: C2/m, No. 12

```
PmHo2Sc8
1.0
4.368 -8.095 0.000
4.368 8.095 0.000
-3.430 0.000 4.270
Pm Ho Sc
1 2 8
direct
0.000 0.000 0.000 Pm
0.310 0.690 0.500 Ho
0.690 0.310 0.500 Ho
0.098 0.359 0.728 Sc
0.203 0.797 0.000 Sc
0.359 0.098 0.728 Sc
0.499 0.499 0.255 Sc
0.501 0.501 0.745 Sc
0.641 0.902 0.272 Sc
0.797 0.203 0.000 Sc
0.902 0.641 0.272 Sc
```

***

Density functional theory data (PBE) for a relaxed MgZr2Cl crystal.

Summary:
Relative energy among the computed polymorphs in eV per atom: 0.267
V in Å³ per cell: 89.04
Raw formation energy in eV per atom: -0.221
Symmetry: Cm, No. 8

```
MgZr2Cl
1.0
5.421 -1.570 0.000
5.421 1.570 0.000
-2.335 0.000 5.232
Mg Zr Cl
1 2 1
direct
0.000 0.000 0.000 Mg
0.179 0.179 0.629 Zr
0.417 0.417 0.457 Zr
0.764 0.764 0.048 Cl
```

***

Density functional theory data (PBE) for a relaxed LaTm5Mg4 crystal.

Summary:
Energy of formation in eV/atom: -0.0375
V in Å³ per cell: 279.49
Symmetry: P4/mmm, No. 123

```
LaTm5Mg4
1.0
3.723 0.000 0.000
0.000 3.723 0.000
0.000 0.000 20.168
La Tm Mg
1 5 4
direct
0.000 0.000 0.000 La
0.500 0.500 0.123 Tm
0.500 0.500 0.312 Tm
0.500 0.500 0.500 Tm
0.500 0.500 0.688 Tm
0.500 0.500 0.877 Tm
0.000 0.000 0.219 Mg
0.000 0.000 0.406 Mg
0.000 0.000 0.594 Mg
0.000 0.000 0.781 Mg
```

***

Density functional theory data (PBE) for a relaxed SbTe2Pt crystal.

Summary:
V in Å³ per cell: 110.38
Raw formation energy in eV per atom: 0.021
Symmetry: Cmm2, No. 35

```
SbTe2Pt
1.0
2.209 -2.261 0.000
2.209 2.261 0.000
0.000 0.000 11.051
Sb Te Pt
1 2 1
direct
0.000 0.000 0.000 Sb
0.000 0.000 0.652 Te
0.500 0.500 0.301 Te
0.500 0.500 0.845 Pt
```

***

Density functional theory data (PBE) for a relaxed BaLi2Al2 crystal.

Summary:
Relative energy among the computed polymorphs in eV per atom: 0.142
Energy of formation in eV/atom: 0.0609
V in Å³ per cell: 236.80
Symmetry: P4/mbm, No. 127

```
BaLi2Al2
1.0
8.599 0.000 0.000
0.000 8.599 0.000
0.000 0.000 3.203
Ba Li Al
2 4 4
direct
0.000 0.000 0.000 Ba
0.500 0.500 0.000 Ba
0.174 0.326 0.500 Li
0.326 0.826 0.500 Li
0.674 0.174 0.500 Li
0.826 0.674 0.500 Li
0.111 0.611 0.000 Al
0.389 0.111 0.000 Al
0.611 0.889 0.000 Al
0.889 0.389 0.000 Al
```

***

Density functional theory data (PBE) for a relaxed Be2SbRh crystal.

Summary:
V in Å³ per cell: 56.06
Raw formation energy in eV per atom: 0.232
Symmetry: F-43m, No. 216

```
Be2SbRh
1.0
0.000 3.038 3.038
3.038 0.000 3.038
3.038 3.038 0.000
Be Sb Rh
2 1 1
direct
0.000 0.000 0.000 Be
0.250 0.250 0.250 Be
0.500 0.500 0.500 Sb
0.750 0.750 0.750 Rh
```

***

Density functional theory data (PBE) for a relaxed CaRh2Au crystal.

Summary:
Energy of formation in eV/atom: -0.0803
V in Å³ per cell: 71.52
Symmetry: F-43m, No. 216

```
CaRh2Au
1.0
0.000 3.295 3.295
3.295 0.000 3.295
3.295 3.295 0.000
Ca Rh Au
1 2 1
direct
0.000 0.000 0.000 Ca
0.250 0.250 0.250 Rh
0.500 0.500 0.500 Rh
0.750 0.750 0.750 Au
```

***

Density functional theory data (PBE) for a relaxed NiTeBr2 crystal.

Summary:
Relative energy among the computed polymorphs in eV per atom: 0.502
V in Å³ per cell: 116.15
Raw formation energy in eV per atom: 0.254
Symmetry: P4/mmm, No. 123

```
NiTeBr2
1.0
3.164 0.000 0.000
0.000 3.164 0.000
0.000 0.000 11.599
Ni Te Br
1 1 2
direct
0.000 0.000 0.000 Ni
0.000 0.000 0.500 Te
0.500 0.500 0.138 Br
0.500 0.500 0.862 Br
```

***

Density functional theory data (PBE) for a relaxed CeRe4B2 crystal.

Summary:
Energy of formation in eV/atom: -0.0984
V in Å³ per cell: 100.10
Symmetry: Cmmm, No. 65

```
CeRe4B2
1.0
1.975 -6.627 0.000
1.975 6.627 0.000
0.000 0.000 3.825
Ce Re B
1 4 2
direct
0.000 0.000 0.000 Ce
0.171 0.829 0.500 Re
0.315 0.685 0.000 Re
0.685 0.315 0.000 Re
0.829 0.171 0.500 Re
0.425 0.575 0.500 B
0.575 0.425 0.500 B
```

***

Density functional theory data (PBE) for a relaxed ZrScSe crystal.

Summary:
Relative energy among the computed polymorphs in eV per atom: 0.000
V in Å³ per cell: 131.14
Raw formation energy in eV per atom: -1.012
Symmetry: P4/nmm, No. 129

```
ZrScSe
1.0
3.825 0.000 0.000
0.000 3.825 0.000
0.000 0.000 8.966
Zr Sc Se
2 2 2
direct
0.250 0.250 0.064 Zr
0.750 0.750 0.936 Zr
0.250 0.250 0.698 Sc
0.750 0.750 0.302 Sc
0.250 0.250 0.373 Se
0.750 0.750 0.627 Se
```